# V2TcCl

A relaxed V2TcCl crystal (PBE, Alexandria via LeMat-Bulk).

The space group is Fm-3m (No. 225) and the conventional cell measures 6.145, 6.145 and 6.145 Å, with angles of 90.00, 90.00 and 90.00 degrees. The asymmetric unit holds V at (0.250, 0.250, 0.250), Tc at (0.000, 0.000, 0.000) and Cl at (0.000, 0.000, 0.500).

The total magnetization is 2.234 μB/f.u. The calculation puts the raw formation energy at 639.5 meV per atom. The crystal system is cubic. The calculation puts the excess energy over the best structure of this formula in the dataset at 0.34 eV/f.u.

# MgGa7Cu5

A relaxed MgGa7Cu5 crystal (PBE, Alexandria via LeMat-Bulk).

The space group is Imm2 (No. 44) and the conventional cell measures 5.175, 8.892 and 8.618 Å, with angles of 90.00, 90.00 and 90.00 degrees. The asymmetric unit holds Mg at (0.000, 0.000, 0.000), Ga at (0.000, 0.000, 0.368), Ga at (0.000, 0.000, 0.670), Ga at (0.000, 0.314, 0.518), Ga at (0.000, 0.337, 0.034), Ga at (0.000, 0.500, 0.763), Cu at (0.000, 0.500, 0.287) and Cu at (0.247, 0.250, 0.776).

The total magnetization is 0.000 μB/f.u. The crystal system is orthorhombic. The formation energy is -96 meV per atom.